No. 1
# Mg2ZrIn4Sn

An optimized crystal structure of Mg2ZrIn4Sn (PBE, Alexandria).

Summary:
Density of states at the Fermi level (states/eV/f.u.): 5.1
Spin magnetization (μB/cell): 0.00
Symmetry: I4/mmm (139)
E_form (kcal/mol of atoms): -2.45
Uncorrected energy (eV per cell): -27.5

abc: 8.9628 6.4101 6.4101
angles: 60.74 45.64 45.64
With the nearest neighbours (Å) after each atom.
Fractional positions:
Mg 0.5000 0.5000 0.5000  8 In 3.20-3.21, 2 Sn 3.24, 2 Zr 3.24
Mg 0.0000 0.5000 0.5000  8 In 3.20-3.21, 2 Zr 3.24, 2 Sn 3.24
Sn 0.0000 0.0000 0.0000  8 In 3.20-3.21, 4 Mg 3.24
Zr 0.5000 0.0000 0.0000  8 In 3.20-3.21, 4 Mg 3.24
In 0.0000 0.4999 0.0000  2 Sn 3.20-3.21, 2 Zr 3.20-3.21, 4 Mg 3.21, 4 In 3.24
In 0.5001 0.0000 0.4999  2 Sn 3.20-3.21, 2 Zr 3.20-3.21, 4 Mg 3.20-3.21, 4 In 3.24
In 0.0000 0.0000 0.5001  2 Sn 3.20-3.21, 2 Zr 3.20-3.21, 4 Mg 3.20-3.21, 4 In 3.24
In 0.4999 0.5001 0.0000  2 Sn 3.20-3.21, 2 Zr 3.20-3.21, 4 Mg 3.21, 4 In 3.24



No. 2
# SrMg4In

An optimized crystal structure of SrMg4In (PBE, Alexandria).

Summary:
Density of states at the Fermi level (states/eV/f.u.): 1.6
Spin magnetization (μB/cell): 0.00
Polymorph energy (0 for the lowest one) (meV per atom): 49
Symmetry: F-43m (216)
E_form (kcal/mol of atoms): -1.36
Uncorrected energy (eV per cell): -11.2

abc: 6.1667 6.1667 6.1667
angles: 60.00 60.00 60.00
With the nearest neighbours (Å) after each atom.
Fractional positions:
In 0.0000 0.0000 0.0000  12 Mg 3.61, 4 Sr 3.78
Mg 0.3745 0.3745 0.8766  6 Mg 3.07-3.10
Sr 0.7500 0.7500 0.7500  12 Mg 3.62, 4 In 3.78
Mg 0.8766 0.3745 0.3745  6 Mg 3.07-3.10
Mg 0.3745 0.8766 0.3745  6 Mg 3.07-3.10
Mg 0.3745 0.3745 0.3745  6 Mg 3.07-3.10



No. 3
# SrMgIn

An optimized crystal structure of SrMgIn (PBE, Alexandria).

Summary:
Density of states at the Fermi level (states/eV/f.u.): 2.0
Spin magnetization (μB/cell): 0.00
Symmetry: C2/m (12)
E_form (kcal/mol of atoms): -7.10
Uncorrected energy (eV per cell): -13.9

abc: 5.1328 6.6053 6.5163
angles: 77.23 66.81 67.14
With the nearest neighbours (Å) after each atom.
Fractional positions:
Mg 0.8315 0.5999 0.7372  3 In 2.98-3.15, 1 Mg 3.18
In 0.8378 0.2090 0.1154  3 Mg 2.98-3.15, 1 In 2.99
Mg 0.1685 0.4001 0.2628  3 In 2.98-3.15, 1 Mg 3.18
Sr 0.5472 0.2011 0.7044  6 In 3.52-3.83, 6 Mg 3.55-3.81
In 0.1622 0.7910 0.8846  3 Mg 2.98-3.15, 1 In 2.99
Sr 0.4528 0.7989 0.2956  6 In 3.52-3.83, 6 Mg 3.55-3.81



No. 4
# SrMg3In

An optimized crystal structure of SrMg3In (PBE, Alexandria).

Summary:
Density of states at the Fermi level (states/eV/f.u.): 2.0
Spin magnetization (μB/cell): 0.00
Polymorph energy (0 for the lowest one) (meV per atom): 117
Symmetry: P6_3/mmc (194)
E_form (kcal/mol of atoms): -0.82
Uncorrected energy (eV per cell): -18.8

abc: 6.1991 7.4038 7.4031
angles: 120.02 90.00 90.00
With the nearest neighbours (Å) after each atom.
Fractional positions:
Sr 0.7499 0.6667 0.3335  12 Mg 3.56-3.72
Sr 0.2501 0.3333 0.6665  12 Mg 3.56-3.72
Mg 0.7501 0.1959 0.8042  2 In 2.95, 2 Mg 3.05
In 0.0000 0.0000 0.0000  6 Mg 2.95, 2 In 3.10
Mg 0.7500 0.6082 0.8043  2 In 2.95, 2 Mg 3.05
Mg 0.7500 0.1958 0.3918  2 In 2.95, 2 Mg 3.05
Mg 0.2500 0.8042 0.6082  2 In 2.95, 2 Mg 3.05
Mg 0.2500 0.3918 0.1957  2 In 2.95, 2 Mg 3.05
Mg 0.2499 0.8041 0.1958  2 In 2.95, 2 Mg 3.05
In 0.5000 0.0000 0.0000  6 Mg 2.95, 2 In 3.10



No. 5
# SrMgIn

An optimized crystal structure of SrMgIn (PBE, Alexandria).

Summary:
Density of states at the Fermi level (states/eV/f.u.): 3.7
Spin magnetization (μB/cell): 0.74
Symmetry: F-43m (216)
E_form (kcal/mol of atoms): -2.57
Uncorrected energy (eV per cell): -6.3

abc: 5.3182 5.3182 5.3182
angles: 60.00 60.00 60.00
With the nearest neighbours (Å) after each atom.
Fractional positions:
Mg 0.0000 0.0000 0.0000  4 In 3.26
Sr 0.5000 0.5000 0.5000  4 In 3.26
In 0.7500 0.7500 0.7500  4 Mg 3.26, 4 Sr 3.26



No. 6
# Sr3Mg2In

An optimized crystal structure of Sr3Mg2In (PBE, Alexandria).

Summary:
Density of states at the Fermi level (states/eV/f.u.): 4.1
Spin magnetization (μB/cell): 0.00
Symmetry: P-3m1 (164)
E_form (kcal/mol of atoms): -4.59
Uncorrected energy (eV per cell): -24.3

abc: 5.8406 5.8406 14.3567
angles: 90.00 90.00 120.00
With the nearest neighbours (Å) after each atom.
Fractional positions:
Mg 0.6667 0.3333 0.8342  8 Sr 3.55-3.65
Sr 0.0000 0.0000 0.7449  5 Mg 3.52-3.66, 3 In 3.55
In 0.3333 0.6667 0.6666  8 Sr 3.52-3.58
Mg 0.3333 0.6667 0.1658  8 Sr 3.55-3.65
Sr 0.3333 0.6667 0.9117  1 In 3.52, 7 Mg 3.55-3.65
Sr 0.0000 0.0000 0.2551  5 Mg 3.52-3.66, 3 In 3.55
Sr 0.6667 0.3333 0.0883  1 In 3.52, 7 Mg 3.55-3.65
Mg 0.0000 0.0000 0.5000  8 Sr 3.52-3.58
Sr 0.6667 0.3333 0.5830  4 Mg 3.58-3.61, 4 In 3.58
Mg 0.0000 0.0000 0.0000  8 Sr 3.60-3.66
In 0.6667 0.3333 0.3334  8 Sr 3.52-3.58
Sr 0.3333 0.6667 0.4170  4 Mg 3.58-3.61, 4 In 3.58



No. 7
# Sr3Mg7In4

An optimized crystal structure of Sr3Mg7In4 (PBE, Alexandria).

Summary:
Density of states at the Fermi level (states/eV/f.u.): 7.2
Spin magnetization (μB/cell): 0.00
Symmetry: C2/m (12)
E_form (kcal/mol of atoms): -5.68
Uncorrected energy (eV per cell): -30.6

abc: 4.8959 9.3421 9.5837
angles: 71.76 75.20 74.81
With the nearest neighbours (Å) after each atom.
Fractional positions:
Mg 0.0000 0.0000 0.0000  2 In 2.99, 4 Mg 3.31
Mg 0.1529 0.6147 0.0795  3 In 2.98-3.06, 2 Mg 3.26
In 0.8799 0.9059 0.3342  6 Mg 2.95-3.06
Mg 0.8471 0.3853 0.9205  3 In 2.98-3.06, 2 Mg 3.26
Sr 0.6989 0.8060 0.7962  4 In 3.45-3.54, 10 Mg 3.53-3.79
Mg 0.5061 0.7934 0.1945  3 In 2.98-3.06, 5 Mg 3.09-3.31
Mg 0.6727 0.1716 0.4830  4 In 2.95-3.06, 1 Mg 3.09
In 0.3411 0.5438 0.7739  5 Mg 2.98-3.06
Sr 0.0000 0.5000 0.5000  6 In 3.58-3.62, 6 Mg 3.76-3.88
In 0.1201 0.0941 0.6658  6 Mg 2.95-3.06
Mg 0.3273 0.8284 0.5170  4 In 2.95-3.06, 1 Mg 3.09
Sr 0.3011 0.1940 0.2038  4 In 3.45-3.54, 10 Mg 3.53-3.79
In 0.6589 0.4562 0.2261  5 Mg 2.98-3.06
Mg 0.4939 0.2066 0.8055  3 In 2.98-3.06, 5 Mg 3.09-3.31



No. 8
# Sr2Mg2In3

An optimized crystal structure of Sr2Mg2In3 (PBE, Alexandria).

Summary:
Density of states at the Fermi level (states/eV/f.u.): 4.3
Spin magnetization (μB/cell): 0.00
Symmetry: Cmcm (63)
E_form (kcal/mol of atoms): -7.41
Uncorrected energy (eV per cell): -34.0

abc: 4.8293 8.2330 10.9718
angles: 90.00 102.71 90.00
With the nearest neighbours (Å) after each atom.
Fractional positions:
Sr 0.9430 0.2500 0.8861  9 In 3.59-3.78
In 0.2258 0.7500 0.4515  6 Mg 2.98-3.11
In 0.5606 0.0723 0.1211  2 In 2.85-2.93, 1 Mg 2.99
Mg 0.6907 0.9406 0.3815  4 In 2.98-3.11, 1 Mg 3.14
In 0.7742 0.2500 0.5485  6 Mg 2.98-3.11
In 0.4394 0.9277 0.8789  2 In 2.85-2.93, 1 Mg 2.99
Mg 0.3093 0.0594 0.6185  4 In 2.98-3.11, 1 Mg 3.14
Sr 0.0570 0.7500 0.1139  9 In 3.59-3.78
Sr 0.1551 0.2500 0.3103  6 In 3.47-3.51, 6 Mg 3.59-3.65
In 0.5606 0.4277 0.1211  2 In 2.85-2.93, 1 Mg 2.99
Mg 0.3093 0.4406 0.6185  4 In 2.98-3.11, 1 Mg 3.14
Mg 0.6907 0.5594 0.3815  4 In 2.98-3.11, 1 Mg 3.14
In 0.4394 0.5723 0.8789  2 In 2.85-2.93, 1 Mg 2.99
Sr 0.8449 0.7500 0.6897  6 In 3.47-3.51, 6 Mg 3.59-3.65



No. 9
# SrMg2In4

An optimized crystal structure of SrMg2In4 (PBE, Alexandria).

Summary:
Density of states at the Fermi level (states/eV/f.u.): 3.1
Spin magnetization (μB/cell): 0.00
Polymorph energy (0 for the lowest one) (meV per atom): 25
Symmetry: Immm (71)
E_form (kcal/mol of atoms): -4.29
Uncorrected energy (eV per cell): -17.1

abc: 4.9684 3.6040 10.8700
angles: 99.54 103.21 90.00
With the nearest neighbours (Å) after each atom.
Fractional positions:
Sr 0.5000 0.0000 0.0000  12 In 3.46-3.74, 2 Sr 3.60
In 0.6570 0.6570 0.3140  5 Mg 2.92-3.21, 2 In 2.99
Mg 0.7972 0.7972 0.5943  7 In 2.92-3.21
Mg 0.2028 0.2028 0.4057  7 In 2.92-3.21
In 0.9230 0.4230 0.8459  3 In 2.99-3.21, 2 Mg 3.18
In 0.3430 0.3430 0.6860  5 Mg 2.92-3.21, 2 In 2.99
In 0.0770 0.5770 0.1541  3 In 2.99-3.21, 2 Mg 3.18



No. 10
# SrMgIn

An optimized crystal structure of SrMgIn (PBE, Alexandria).

Summary:
Density of states at the Fermi level (states/eV/f.u.): 2.4
Spin magnetization (μB/cell): 0.00
Symmetry: P3m1 (156)
E_form (kcal/mol of atoms): -0.56
Uncorrected energy (eV per cell): -6.1

abc: 4.1042 4.1042 7.1017
angles: 90.00 90.00 120.00
With the nearest neighbours (Å) after each atom.
Fractional positions:
Mg 0.6667 0.3333 0.2907  3 In 3.00
In 0.0000 0.0000 0.0319  3 Mg 3.00
Sr 0.3333 0.6667 0.6773  3 In 3.46, 3 Mg 3.63



No. 11
# SrMgIn6

An optimized crystal structure of SrMgIn6 (PBE, Alexandria).

Summary:
Density of states at the Fermi level (states/eV/f.u.): 2.7
Spin magnetization (μB/cell): 0.00
Polymorph energy (0 for the lowest one) (meV per atom): 9
Symmetry: P4/mmm (123)
E_form (kcal/mol of atoms): -3.16
Uncorrected energy (eV per cell): -20.8

abc: 4.7515 4.7515 10.3291
angles: 90.00 90.00 90.00
With the nearest neighbours (Å) after each atom.
Fractional positions:
Sr 0.0000 0.0000 0.0000  16 In 3.65-4.06
In 0.0000 0.5000 0.3190  2 Mg 3.02, 6 In 3.03-3.36
In 0.5000 0.5000 0.1376  5 In 2.84-3.03
In 0.0000 0.5000 0.6810  2 Mg 3.02, 6 In 3.03-3.36
Mg 0.0000 0.0000 0.5000  8 In 3.02
In 0.5000 0.0000 0.3190  2 Mg 3.02, 6 In 3.03-3.36
In 0.5000 0.0000 0.6810  2 Mg 3.02, 6 In 3.03-3.36
In 0.5000 0.5000 0.8624  5 In 2.84-3.03



No. 12
# SrMgIn

An optimized crystal structure of SrMgIn (PBE, Alexandria).

Summary:
Density of states at the Fermi level (states/eV/f.u.): 1.2
Spin magnetization (μB/cell): 0.00
Symmetry: P-6m2 (187)
E_form (kcal/mol of atoms): -6.93
Uncorrected energy (eV per cell): -6.9

abc: 5.2078 5.2078 3.9404
angles: 90.00 90.00 120.00
With the nearest neighbours (Å) after each atom.
Fractional positions:
In 0.0000 0.0000 0.1660  3 Mg 3.01
Mg 0.6667 0.3333 0.1676  3 In 3.01
Sr 0.3333 0.6667 0.6666  6 Mg 3.59-3.60, 6 In 3.59-3.60, 2 Sr 3.94



> Look up the uncorrected energy of the sixth one.

-24.3 eV per cell



> Look up the E_form of the tenth one.

-0.56 kcal/mol of atoms